In2RuC2, optimized geometry, DFT PBE; electronic total energy = -50.8 eV for the cell shown; total magnetic moment = 0.0 Bohr magnetons per cell; space group = No. 139; energy above the most stable polymorph in this dataset = 0 meV per atom; crystal system = tetragonal
1.0
2.9358 0.0000 0.0000
0.0000 2.9358 0.0000
0.0000 0.0000 16.0412
In Ru C
4 2 4
Cartesian
0.0000 0.0000 1.8900 In
0.0000 0.0000 14.1512 In
1.4679 1.4679 6.1306 In
1.4679 1.4679 9.9106 In
0.0000 0.0000 8.0206 Ru
1.4679 1.4679 0.0000 Ru
0.0000 1.4679 4.0103 C
0.0000 1.4679 12.0309 C
1.4679 0.0000 4.0103 C
1.4679 0.0000 12.0309 C